A relaxed LiZr2CuPt5 crystal, computed with PBE-GGA.

CIF file:
```
data_LiZr2CuPt5
_cell_length_a 7.679
_cell_length_b 7.679
_cell_length_c 7.679
_cell_angle_alpha 117.08
_cell_angle_beta 117.08
_cell_angle_gamma 95.14
_symmetry_space_group_name_H-M 'P 1'
_symmetry_Int_Tables_number 1
loop_
_symmetry_equiv_pos_as_xyz
'x,y,z'
loop_
_atom_site_label
_atom_site_type_symbol
_atom_site_fract_x
_atom_site_fract_y
_atom_site_fract_z
Li1 Li 0.250 0.250 0.000
Li2 Li 0.750 0.750 0.000
Zr1 Zr 0.127 0.627 0.755
Zr2 Zr 0.373 0.127 0.500
Zr3 Zr 0.627 0.873 0.500
Zr4 Zr 0.873 0.373 0.245
Cu1 Cu 0.250 0.750 0.500
Cu2 Cu 0.750 0.250 0.500
Pt1 Pt 0.000 0.000 0.000
Pt2 Pt 0.050 0.179 0.500
Pt3 Pt 0.179 0.679 0.129
Pt4 Pt 0.321 0.450 0.500
Pt5 Pt 0.450 0.950 0.129
Pt6 Pt 0.500 0.500 0.000
Pt7 Pt 0.550 0.050 0.871
Pt8 Pt 0.679 0.550 0.500
Pt9 Pt 0.821 0.321 0.871
Pt10 Pt 0.950 0.821 0.500
```

Properties
Space group: I4/mcm
Formation energy from the elements: -314.7 meV/atom
Total magnetization: 0.00 μB per cell